1.
Compound: BaLa3Ta
Source: Alexandria
Functional: PBE-GGA
Structure: relaxed

Structure (extended XYZ):
```
5
Lattice="5.882 0.000 0.000 0.000 5.882 0.000 0.000 0.000 5.882" Properties=species:S:1:pos:R:3 pbc="T T T"
La 0.000 2.941 0.000
La 0.000 0.000 2.941
La 2.941 0.000 0.000
Ba 2.941 2.941 2.941
Ta 0.000 0.000 0.000
```

Values from the calculation:
magnetic moment	0.000	μB per formula unit
ΔH_f (0 K)	0.40	eV/atom
symmetry	Pm-3m

2.
Compound: BaLa2Ta
Source: Alexandria
Functional: PBE-GGA
Structure: relaxed

Structure (extended XYZ):
```
4
Lattice="4.041 0.000 0.000 0.000 4.041 0.000 0.000 0.000 8.695" Properties=species:S:1:pos:R:3 pbc="T T T"
La 0.000 0.000 0.547
La 2.020 2.020 2.603
Ba 2.020 2.020 6.089
Ta 0.000 0.000 3.802
```

Values from the calculation:
magnetic moment	0.000	μB per formula unit
ΔH_f (0 K)	0.58	eV/atom
symmetry	P4mm

3.
Compound: BaLaTa2
Source: Alexandria
Functional: PBE-GGA
Structure: relaxed

Structure (extended XYZ):
```
4
Lattice="-3.729 -1.929 -2.551 -4.338 -2.236 0.563 -4.025 7.156 -0.082" Properties=species:S:1:pos:R:3 pbc="T T T"
La -2.779 0.170 -0.527
Ba -6.234 1.859 -1.036
Ta -3.846 6.772 -0.085
Ta -9.303 2.843 -1.539
```

Values from the calculation:
magnetic moment	0.000	μB per formula unit
ΔH_f (0 K)	0.68	eV/atom
symmetry	Cm

4.
Compound: BaLa2Ta
Source: Alexandria
Functional: PBE-GGA
Structure: relaxed

Structure (extended XYZ):
```
4
Lattice="5.644 0.000 0.000 2.822 4.888 0.000 2.822 1.629 4.608" Properties=species:S:1:pos:R:3 pbc="T T T"
La 0.000 0.000 0.000
La 2.822 1.629 1.152
Ba 5.644 3.259 2.304
Ta 8.466 4.888 3.456
```

Values from the calculation:
magnetic moment	0.839	μB per formula unit
ΔH_f (0 K)	0.79	eV/atom
symmetry	F-43m

| no. | calculated total energy (eV/atom) | energy relative to the lowest polymorph listed for this composition (meV per atom) |
| --- | --- | --- |
| 1 | -5.31 | 0 |
| 2 | -5.33 | 165 |
| 3 | -6.96 | 214 |
| 4 | -5.12 | 378 |